Record 1
A plane-wave DFT calculation with PBE was carried out for Pr3Cu2Ge4Pt2 after structural relaxation.

Cell lengths 12.7465, 12.7465, 12.7465 Å; angles 160.84, 160.74, 27.30 degrees
Atoms (fractional coordinates):
Cu (0.4047, 0.4047, 0.0000)
Cu (0.5953, 0.5953, 0.0000)
Ge (0.3080, 0.3080, 0.0000)
Ge (0.6920, 0.6920, 0.0000)
Ge (0.5513, 0.0513, 0.5000)
Ge (0.4487, 0.9487, 0.5000)
Pr (0.1476, 0.1476, 0.0000)
Pr (0.8524, 0.8524, 0.0000)
Pr (0.0000, 0.5000, 0.5000)
Pt (0.7508, 0.2508, 0.5000)
Pt (0.2492, 0.7492, 0.5000)

- Electronic total energy: -5.51 eV per atom
- Size of the total moment: 0.0 Bohr magnetons per cell
- Space-group type: Immm, No. 71

Record 2
A plane-wave DFT calculation with PBE was carried out for Re2OsO4 after structural relaxation.

Cell lengths 6.1362, 6.1362, 6.1362 Å; angles 119.99, 90.02, 119.99 degrees
Atoms (fractional coordinates):
O (0.6163, 0.2328, 0.3835)
O (0.1508, 0.7672, 0.3835)
O (0.6165, 0.7672, 0.3837)
O (0.1335, 0.2672, 0.4008)
O (0.6165, 0.2328, 0.8492)
O (0.1335, 0.7328, 0.8663)
O (0.1337, 0.2672, 0.8665)
O (0.5992, 0.7328, 0.8665)
Os (0.0000, 0.0000, 0.0000)
Os (0.7500, 0.5000, 0.2500)
Re (0.3750, 0.7500, 0.1250)
Re (0.3750, 0.7500, 0.6250)
Re (0.3750, 0.2500, 0.6250)
Re (0.8750, 0.2500, 0.6250)

- Electronic total energy: -7.99 eV per atom
- Size of the total moment: 0.0 Bohr magnetons per cell
- Space-group type: Fd-3m, No. 227

Record 3
A plane-wave DFT calculation with PBE was carried out for TbZrCSe after structural relaxation.

Cell lengths 3.6021, 3.6021, 13.0932 Å; angles 90.00, 90.00, 120.00 degrees
Atoms (fractional coordinates):
C (0.0000, 0.0000, 0.2672)
C (0.0000, 0.0000, 0.7328)
Se (0.6667, 0.3333, 0.0000)
Se (0.3333, 0.6667, 0.5000)
Tb (0.3333, 0.6667, 0.1548)
Tb (0.3333, 0.6667, 0.8452)
Zr (0.6667, 0.3333, 0.3526)
Zr (0.6667, 0.3333, 0.6474)

- Electronic total energy: -7.60 eV per atom
- Size of the total moment: 0.0 Bohr magnetons per cell
- Space-group type: P-6m2, No. 187
- Polymorph energy (0 for the lowest one): 13 meV per atom

Record 4
A plane-wave DFT calculation with PBE was carried out for Mg3Np after structural relaxation.

Cell lengths 5.1648, 7.3153, 5.1652 Å; angles 90.00, 90.00, 90.00 degrees
Site moments in Bohr magnetons follow the coordinates.
Atoms (fractional coordinates):
Mg (0.4116, 0.2504, 0.0000)  0.01
Mg (0.9127, 0.5000, 0.0000)  -0.01
Mg (0.4116, 0.7496, 0.0000)  0.01
Mg (0.4207, 0.0000, 0.5000)  -0.01
Mg (0.9217, 0.2496, 0.5000)  0.01
Mg (0.9217, 0.7504, 0.5000)  0.01
Np (0.9125, 0.0000, 0.0000)  4.23
Np (0.4209, 0.5000, 0.5000)  4.24

- Electronic total energy: -3.99 eV per atom
- Size of the total moment: 9.5 Bohr magnetons per cell
- Space-group type: Pmmn, No. 59
- Polymorph energy (0 for the lowest one): 125 meV per atom

Record 5
A plane-wave DFT calculation with PBE was carried out for MgBeGePt after structural relaxation.

Cell lengths 4.3741, 4.3741, 4.3741 Å; angles 60.00, 60.00, 60.00 degrees
Atoms (fractional coordinates):
Be (0.7500, 0.7500, 0.7500)
Ge (0.0000, 0.0000, 0.0000)
Mg (0.2500, 0.2500, 0.2500)
Pt (0.5000, 0.5000, 0.5000)

- Electronic total energy: -4.14 eV per atom
- Size of the total moment: 0.0 Bohr magnetons per cell
- Space-group type: F-43m, No. 216
- Polymorph energy (0 for the lowest one): 43 meV per atom

Record 6
A plane-wave DFT calculation with PBE was carried out for TbEr2In3PtAu2 after structural relaxation.

Cell lengths 3.9441, 7.7063, 7.7063 Å; angles 120.16, 90.00, 90.00 degrees
Atoms (fractional coordinates):
Au (0.5000, 0.6684, 0.3327)
Au (0.5000, 0.3327, 0.6684)
Er (0.0000, 0.5993, 0.0002)
Er (0.0000, 0.0002, 0.5993)
In (0.5000, 0.9991, 0.2566)
In (0.5000, 0.7436, 0.7436)
In (0.5000, 0.2566, 0.9991)
Pt (0.0000, 0.9985, 0.9985)
Tb (0.0000, 0.4017, 0.4017)

- Electronic total energy: -4.67 eV per atom
- Size of the total moment: 0.0 Bohr magnetons per cell
- Space-group type: Amm2, No. 38

Record 7
A plane-wave DFT calculation with PBE was carried out for Gd2NbCoGe2 after structural relaxation.

Cell lengths 3.9990, 3.9990, 7.5163 Å; angles 90.00, 90.00, 90.00 degrees
Site moments in Bohr magnetons follow the coordinates.
Atoms (fractional coordinates):
Co (0.0000, 0.0000, 0.0000)  0.13
Gd (0.0000, 0.5000, 0.3428)  0.16
Gd (0.5000, 0.0000, 0.6572)  0.12
Ge (0.5000, 0.0000, 0.2279)  0.00
Ge (0.0000, 0.5000, 0.7721)  0.00
Nb (0.5000, 0.5000, 0.0000)  0.03

- Electronic total energy: -6.50 eV per atom
- Size of the total moment: 0.6 Bohr magnetons per cell
- Space-group type: P-4m2, No. 115

Record 8
A plane-wave DFT calculation with PBE was carried out for ZrBeSi after structural relaxation.

Cell lengths 3.7125, 3.7125, 8.5057 Å; angles 90.00, 90.00, 120.00 degrees
Atoms (fractional coordinates):
Be (0.0000, 0.0000, 0.3072)
Be (0.0000, 0.0000, 0.8072)
Si (0.3333, 0.6667, 0.3758)
Si (0.6667, 0.3333, 0.8758)
Zr (0.3333, 0.6667, 0.0670)
Zr (0.6667, 0.3333, 0.5670)

- Electronic total energy: -6.13 eV per atom
- Size of the total moment: 0.0 Bohr magnetons per cell
- Space-group type: P6_3mc, No. 186
- Polymorph energy (0 for the lowest one): 520 meV per atom

Record 9
A plane-wave DFT calculation with PBE was carried out for PmInTc after structural relaxation.

Cell lengths 4.8886, 4.8886, 4.8886 Å; angles 60.00, 60.00, 60.00 degrees
Atoms (fractional coordinates):
In (0.2500, 0.2500, 0.2500)
Pm (0.0000, 0.0000, 0.0000)
Tc (0.7500, 0.7500, 0.7500)

- Electronic total energy: -4.94 eV per atom
- Size of the total moment: 1.0 Bohr magnetons per cell
- Space-group type: F-43m, No. 216

Record 10
A plane-wave DFT calculation with PBE was carried out for Na4GaSiPd2 after structural relaxation.

Cell lengths 4.6956, 4.6956, 6.6142 Å; angles 90.00, 90.00, 90.00 degrees
Atoms (fractional coordinates):
Ga (0.0000, 0.0000, 0.0000)
Na (0.5000, 0.5000, 0.0000)
Na (0.5000, 0.0000, 0.2510)
Na (0.0000, 0.0000, 0.5000)
Na (0.0000, 0.5000, 0.7490)
Pd (0.0000, 0.5000, 0.2661)
Pd (0.5000, 0.0000, 0.7339)
Si (0.5000, 0.5000, 0.5000)

- Electronic total energy: -3.09 eV per atom
- Space-group type: P-4m2, No. 115

Record 11
A plane-wave DFT calculation with PBE was carried out for Tc2GeTe2 after structural relaxation.

Cell lengths 5.6721, 5.6721, 5.6721 Å; angles 128.12, 128.12, 76.44 degrees
Atoms (fractional coordinates):
Ge (0.0000, 0.0000, 0.0000)
Tc (0.3736, 0.3736, 0.0000)
Tc (0.6264, 0.6264, 0.0000)
Te (0.7500, 0.2500, 0.5000)
Te (0.2500, 0.7500, 0.5000)

- Electronic total energy: -5.81 eV per atom
- Size of the total moment: 0.0 Bohr magnetons per cell
- Space-group type: I4/mmm, No. 139
- Polymorph energy (0 for the lowest one): 24 meV per atom

Record 12
A plane-wave DFT calculation with PBE was carried out for Zr after structural relaxation.

Cell lengths 5.5187, 5.5187, 3.6161 Å; angles 90.00, 90.00, 125.46 degrees
Atoms (fractional coordinates):
Zr (0.1373, 0.8628, 0.9995)
Zr (0.8628, 0.1373, 0.0005)
Zr (0.3628, 0.6373, 0.4995)
Zr (0.6373, 0.3628, 0.5005)

- Electronic total energy: -8.25 eV per atom
- ΔH_f (0 K): 0.298 eV per atom
- Size of the total moment: 0.0 Bohr magnetons per cell
- Space-group type: Fmmm, No. 69
- Polymorph energy (0 for the lowest one): 298 meV per atom

Record 13
A plane-wave DFT calculation with PBE was carried out for YTlFePd after structural relaxation.

Cell lengths 4.7272, 4.7272, 4.7272 Å; angles 60.00, 60.00, 60.00 degrees
Atoms (fractional coordinates):
Fe (0.7500, 0.7500, 0.7500)
Pd (0.2500, 0.2500, 0.2500)
Tl (0.0000, 0.0000, 0.0000)
Y (0.5000, 0.5000, 0.5000)

- Electronic total energy: -5.69 eV per atom
- Size of the total moment: 2.2 Bohr magnetons per cell
- Space-group type: F-43m, No. 216
- Polymorph energy (0 for the lowest one): 0 meV per atom

Record 14
A plane-wave DFT calculation with PBE was carried out for Y3Mg3CdPt2 after structural relaxation.

Cell lengths 7.5362, 7.5362, 4.1183 Å; angles 90.00, 90.00, 120.00 degrees
Atoms (fractional coordinates):
Cd (0.0000, 0.0000, 0.5000)
Mg (0.2583, 0.0000, 0.0000)
Mg (0.0000, 0.2583, 0.0000)
Mg (0.7417, 0.7417, 0.0000)
Pt (0.6667, 0.3333, 0.0000)
Pt (0.3333, 0.6667, 0.0000)
Y (0.5776, 0.0000, 0.5000)
Y (0.4224, 0.4224, 0.5000)
Y (0.0000, 0.5776, 0.5000)

- Electronic total energy: -4.81 eV per atom
- Size of the total moment: 0.0 Bohr magnetons per cell
- Space-group type: P-62m, No. 189

Record 15
A plane-wave DFT calculation with PBE was carried out for Zr3NiAs4Pd3 after structural relaxation.

Cell lengths 6.6445, 3.9287, 7.6107 Å; angles 90.00, 90.22, 90.00 degrees
Atoms (fractional coordinates):
As (0.7561, 0.0000, 0.0970)
As (0.2471, 0.0000, 0.3761)
As (0.7519, 0.5000, 0.6448)
As (0.2334, 0.5000, 0.8787)
Ni (0.6254, 0.5000, 0.9456)
Pd (0.3679, 0.0000, 0.0615)
Pd (0.8444, 0.0000, 0.4404)
Pd (0.1395, 0.5000, 0.5642)
Zr (0.0282, 0.5000, 0.1786)
Zr (0.5391, 0.5000, 0.3165)
Zr (0.4691, 0.0000, 0.6938)

- Electronic total energy: -6.78 eV per atom
- Size of the total moment: 0.0 Bohr magnetons per cell
- Space-group type: Pm, No. 6
- Polymorph energy (0 for the lowest one): 0 meV per atom

Record 16
A plane-wave DFT calculation with PBE was carried out for ScZnFeMo after structural relaxation.

Cell lengths 4.3636, 4.3636, 4.3636 Å; angles 60.00, 60.00, 60.00 degrees
Atoms (fractional coordinates):
Fe (0.7500, 0.7500, 0.7500)
Mo (0.5000, 0.5000, 0.5000)
Sc (0.2500, 0.2500, 0.2500)
Zn (0.0000, 0.0000, 0.0000)

- Electronic total energy: -6.56 eV per atom
- ΔH_f (0 K): 0.128 eV per atom
- Size of the total moment: 0.1 Bohr magnetons per cell
- Space-group type: F-43m, No. 216
- Polymorph energy (0 for the lowest one): 0 meV per atom

Record 17
A plane-wave DFT calculation with PBE was carried out for RbAlCoTe3 after structural relaxation.

Cell lengths 8.5475, 8.5475, 11.0281 Å; angles 90.00, 90.00, 152.56 degrees
Site moments in Bohr magnetons follow the coordinates.
Atoms (fractional coordinates):
Al (0.0370, 0.9630, 0.2500)  0.00
Al (0.9630, 0.0370, 0.7500)  0.00
Co (0.5000, 0.5000, 0.0000)  0.07
Co (0.5000, 0.5000, 0.5000)  0.07
Rb (0.7442, 0.2558, 0.2500)  0.00
Rb (0.2558, 0.7442, 0.7500)  0.00
Te (0.1048, 0.8952, 0.0381)  0.00
Te (0.4364, 0.5636, 0.2500)  0.00
Te (0.1048, 0.8952, 0.4619)  0.00
Te (0.8952, 0.1048, 0.5381)  0.00
Te (0.5636, 0.4364, 0.7500)  0.00
Te (0.8952, 0.1048, 0.9619)  0.00

- Electronic total energy: -3.88 eV per atom
- Size of the total moment: 0.1 Bohr magnetons per cell
- Space-group type: Cmcm, No. 63
- Polymorph energy (0 for the lowest one): 80 meV per atom

Record 18
A plane-wave DFT calculation with PBE was carried out for PrTmSb2 after structural relaxation.

Cell lengths 4.4508, 4.4508, 6.2939 Å; angles 90.00, 90.00, 90.00 degrees
Atoms (fractional coordinates):
Pr (0.0000, 0.0000, 0.0000)
Sb (0.5000, 0.5000, 0.0000)
Sb (0.0000, 0.0000, 0.5000)
Tm (0.5000, 0.5000, 0.5000)

- Electronic total energy: -5.47 eV per atom
- Size of the total moment: 0.0 Bohr magnetons per cell
- Space-group type: P4/mmm, No. 123

Record 19
A plane-wave DFT calculation with PBE was carried out for TbPmCo after structural relaxation.

Cell lengths 4.7144, 4.7144, 4.7144 Å; angles 60.00, 60.00, 60.00 degrees
Atoms (fractional coordinates):
Co (0.5000, 0.5000, 0.5000)
Pm (0.2500, 0.2500, 0.2500)
Tb (0.0000, 0.0000, 0.0000)

- Electronic total energy: -4.71 eV per atom
- ΔH_f (0 K): 0.786 eV per atom
- Size of the total moment: 0.0 Bohr magnetons per cell
- Space-group type: F-43m, No. 216

Record 20
A plane-wave DFT calculation with PBE was carried out for BeCuSnOs after structural relaxation.

Cell lengths 4.3239, 4.3239, 4.3239 Å; angles 60.00, 60.00, 60.00 degrees
Atoms (fractional coordinates):
Be (0.5000, 0.5000, 0.5000)
Cu (0.7500, 0.7500, 0.7500)
Os (0.2500, 0.2500, 0.2500)
Sn (0.0000, 0.0000, 0.0000)

- Electronic total energy: -5.35 eV per atom
- Size of the total moment: 0.0 Bohr magnetons per cell
- Space-group type: F-43m, No. 216
- Polymorph energy (0 for the lowest one): 0 meV per atom